A geometry-optimized Cs2CdPt2 structure. Source: Alexandria via LeMat-Bulk, functional PBE-GGA.

Unit cell a=7.1798 b=7.1798 c=5.8037 alpha=90.00 beta=90.00 gamma=90.00
Last column: nearest neighbours and their distance in Å.
Atoms (fractional coordinates):
Cs: 0.1793 0.3207 0.0000  6 Pt 3.50-3.66, 5 Cs 3.64-3.73
Cs: 0.3207 0.8207 0.0000  6 Pt 3.50-3.66, 5 Cs 3.64-3.73
Cs: 0.6793 0.1793 0.0000  6 Pt 3.50-3.66, 5 Cs 3.64-3.73
Cs: 0.8207 0.6793 0.0000  6 Pt 3.50-3.66, 5 Cs 3.64-3.73
Cd: 0.0000 0.0000 0.5000  4 Pt 2.83
Cd: 0.5000 0.5000 0.5000  4 Pt 2.83
Pt: 0.1279 0.6279 0.5000  1 Pt 2.60, 2 Cd 2.83
Pt: 0.3721 0.1279 0.5000  1 Pt 2.60, 2 Cd 2.83
Pt: 0.6279 0.8721 0.5000  1 Pt 2.60, 2 Cd 2.83
Pt: 0.8721 0.3721 0.5000  1 Pt 2.60, 2 Cd 2.83

Summary:
magnetic moment = 0.000 μB/atom
energy relative to the lowest polymorph listed for this composition = 232.9 meV per atom
formation energy = 0.1 eV/f.u.
final energy = -2.920 eV per atom
volume = 299.2 Å³ per cell

=====

A geometry-optimized CsCd3Pt structure. Source: Alexandria via LeMat-Bulk, functional PBE-GGA.

Unit cell a=9.5668 b=9.5668 c=6.1919 alpha=90.09 beta=90.09 gamma=89.25
Last column: nearest neighbours and their distance in Å.
Atoms (fractional coordinates):
Cs: 0.0473 0.2167 0.2498  3 Cs 3.60-3.84, 6 Cd 3.61-3.96, 1 Pt 4.03
Cs: 0.2167 0.0473 0.7498  3 Cs 3.60-3.84, 6 Cd 3.61-3.96, 1 Pt 4.03
Cs: 0.7833 0.9527 0.2502  3 Cs 3.60-3.84, 6 Cd 3.61-3.96, 1 Pt 4.03
Cs: 0.9527 0.7833 0.7502  3 Cs 3.60-3.84, 6 Cd 3.61-3.96, 1 Pt 4.03
Cd: 0.0035 0.4055 0.7501  1 Pt 2.80, 4 Cd 2.98-3.04
Cd: 0.2518 0.5199 0.5040  3 Pt 2.81-2.94, 4 Cd 2.98-3.11
Cd: 0.2519 0.5195 0.9952  3 Pt 2.81-2.94, 4 Cd 2.99-3.11
Cd: 0.4055 0.0035 0.2501  1 Pt 2.80, 4 Cd 2.98-3.04
Cd: 0.4805 0.7481 0.5048  3 Pt 2.81-2.94, 4 Cd 2.99-3.11
Cd: 0.4801 0.7482 0.9960  3 Pt 2.81-2.94, 4 Cd 2.98-3.11
Cd: 0.5199 0.2518 0.0040  3 Pt 2.81-2.94, 4 Cd 2.98-3.11
Cd: 0.5195 0.2519 0.4952  3 Pt 2.81-2.94, 4 Cd 2.99-3.11
Cd: 0.5945 0.9965 0.7499  1 Pt 2.80, 4 Cd 2.98-3.04
Cd: 0.7481 0.4805 0.0048  3 Pt 2.81-2.94, 4 Cd 2.99-3.11
Cd: 0.7482 0.4801 0.4960  3 Pt 2.81-2.94, 4 Cd 2.98-3.11
Cd: 0.9965 0.5945 0.2499  1 Pt 2.80, 4 Cd 2.98-3.04
Pt: 0.2225 0.7775 0.2500  6 Cd 2.80-2.94
Pt: 0.4981 0.5019 0.7500  8 Cd 2.81-2.87, 2 Pt 3.10
Pt: 0.5019 0.4981 0.2500  8 Cd 2.81-2.87, 2 Pt 3.10
Pt: 0.7775 0.2225 0.7500  6 Cd 2.80-2.94

Summary:
magnetic moment = 0.000 μB/atom
energy relative to the lowest polymorph listed for this composition = 120.8 meV per atom
formation energy = -0.6 eV/f.u.
final energy = -2.055 eV per atom
volume = 566.7 Å³ per cell

=====

A geometry-optimized CsCd2Pt structure. Source: Alexandria via LeMat-Bulk, functional PBE-GGA.

Unit cell a=7.6581 b=7.6581 c=7.6581 alpha=90.00 beta=90.00 gamma=90.00
Last column: nearest neighbours and their distance in Å.
Atoms (fractional coordinates):
Cs: 0.0000 0.0000 0.0000  8 Cd 3.32
Cs: 0.0000 0.5000 0.5000  8 Cd 3.32
Cs: 0.5000 0.0000 0.5000  8 Cd 3.32
Cs: 0.5000 0.5000 0.0000  8 Cd 3.32
Cd: 0.2500 0.2500 0.2500  4 Pt 3.32, 4 Cs 3.32
Cd: 0.2500 0.2500 0.7500  4 Pt 3.32, 4 Cs 3.32
Cd: 0.2500 0.7500 0.2500  4 Pt 3.32, 4 Cs 3.32
Cd: 0.2500 0.7500 0.7500  4 Pt 3.32, 4 Cs 3.32
Cd: 0.7500 0.2500 0.2500  4 Pt 3.32, 4 Cs 3.32
Cd: 0.7500 0.2500 0.7500  4 Pt 3.32, 4 Cs 3.32
Cd: 0.7500 0.7500 0.2500  4 Pt 3.32, 4 Cs 3.32
Cd: 0.7500 0.7500 0.7500  4 Pt 3.32, 4 Cs 3.32
Pt: 0.0000 0.0000 0.5000  8 Cd 3.32
Pt: 0.0000 0.5000 0.0000  8 Cd 3.32
Pt: 0.5000 0.0000 0.0000  8 Cd 3.32
Pt: 0.5000 0.5000 0.5000  8 Cd 3.32

Summary:
magnetic moment = 0.000 μB/atom
energy relative to the lowest polymorph listed for this composition = 520.4 meV per atom
formation energy = 1.3 eV/f.u.
final energy = -1.861 eV per atom
volume = 449.1 Å³ per cell